[1]
Here is a relaxed Er2AsO crystal from Alexandria via LeMat-Bulk. Energies are from GGA-PBE.

Calculated volume: 27.44 A^3/atom
E: -0.4791 Ry per atom
Offset from the most stable computed form: 0.000 eV/atom
Mass density: 6437 kg/m³
Formation energy (no corrections): -1.8346 eV per atom
DOS(E_F): 2.6 states/eV/f.u.

a b c (Å): 7.398 7.398 7.398
angles (deg): 33.48 33.48 33.48
Positions (direct):
Er1 0.096 0.096 0.096
Er2 0.904 0.904 0.904
As1 0.500 0.500 0.500
O1 0.000 0.000 0.000

=====

[2]
Here is a relaxed LiTcF5 crystal from Alexandria via LeMat-Bulk. Energies are from GGA-PBE.

Calculated volume: 14.77 A^3/atom
E: -0.4007 Ry per atom
Mass density: 3211 kg/m³
Formation energy (no corrections): -2.3611 eV per atom

a b c (Å): 5.538 5.538 7.752
angles (deg): 111.11 111.11 84.10
Positions (direct):
Li1 0.084 0.916 0.750
Li2 0.916 0.084 0.250
Tc1 0.500 0.500 0.000
Tc2 0.500 0.500 0.500
F1 0.198 0.266 0.853
F2 0.216 0.717 0.548
F3 0.266 0.198 0.353
F4 0.283 0.784 0.952
F5 0.419 0.581 0.250
F6 0.581 0.419 0.750
F7 0.717 0.216 0.048
F8 0.734 0.802 0.647
F9 0.784 0.283 0.452
F10 0.802 0.734 0.147